The following is a DFT calculation (PBE) of a relaxed structure of Hf2InB.

Cell: 6.6196 6.6196 6.6196 Å, 90.00 90.00 90.00°
Last column: nearest neighbours and their distance in Å.
Fractional positions:
Hf (0.2500, 0.2500, 0.2500)  4 In 2.87, 4 B 2.87
Hf (0.2500, 0.2500, 0.7500)  4 In 2.87, 4 B 2.87
Hf (0.2500, 0.7500, 0.2500)  4 In 2.87, 4 B 2.87
Hf (0.2500, 0.7500, 0.7500)  4 In 2.87, 4 B 2.87
Hf (0.7500, 0.2500, 0.2500)  4 In 2.87, 4 B 2.87
Hf (0.7500, 0.2500, 0.7500)  4 In 2.87, 4 B 2.87
Hf (0.7500, 0.7500, 0.2500)  4 In 2.87, 4 B 2.87
Hf (0.7500, 0.7500, 0.7500)  4 In 2.87, 4 B 2.87
In (0.0000, 0.0000, 0.0000)  8 Hf 2.87
In (0.0000, 0.5000, 0.5000)  8 Hf 2.87
In (0.5000, 0.0000, 0.5000)  8 Hf 2.87
In (0.5000, 0.5000, 0.0000)  8 Hf 2.87
B (0.0000, 0.0000, 0.5000)  8 Hf 2.87
B (0.0000, 0.5000, 0.0000)  8 Hf 2.87
B (0.5000, 0.0000, 0.0000)  8 Hf 2.87
B (0.5000, 0.5000, 0.5000)  8 Hf 2.87

Calculated values
Distance to the lowest polymorph of the same formula = 0.924 eV/atom
SG = Fm-3m
DFT formation energy = 0.489 eV per atom